PBE ReTc4, optimized geometry; symmetry = I4/m, No. 87; calculated formation energy = 0.07 eV/atom; E = -10.714 eV per atom
1.0
-3.075 3.075 1.943
3.075 -3.075 1.943
3.075 3.075 -1.943
Re Tc
1 4
direct
0.000 0.000 0.000
0.199 0.600 0.799
0.400 0.199 0.600
0.600 0.801 0.400
0.801 0.400 0.201